Record 1
## Mn2TlPt (PBE-GGA)

Data for Mn2TlPt after structural relaxation.

```
Mn2TlPt
1.0
0.0000 3.0999 3.0999
3.0999 0.0000 3.0999
3.0999 3.0999 0.0000
Mn Tl Pt
2 1 1
Direct
0.2500 0.2500 0.2500
0.7500 0.7500 0.7500
0.0000 0.0000 0.0000
0.5000 0.5000 0.5000
```

Properties
Offset from the most stable computed form, meV/atom: 546.2
Fermi-level density of states, states/eV per cell: 7.4
Energy, eV/cell: -24.19

---

Record 2
## Mn2TlPt (PBE-GGA)

Data for Mn2TlPt after structural relaxation.

```
Mn2TlPt
1.0
3.1755 0.0000 0.0000
0.0000 4.5703 0.0000
0.0000 0.0000 4.7187
Mn Tl Pt
2 1 1
Direct
0.0000 0.0000 0.0000
0.0000 0.5000 0.3904
0.5000 0.0000 0.5090
0.5000 0.5000 0.9125
```

Properties
Offset from the most stable computed form, meV/atom: 34.5
Fermi-level density of states, states/eV per cell: 1.6
Energy, eV/cell: -26.24

---

Record 3
## Mn2TlPt (PBE-GGA)

Data for Mn2TlPt after structural relaxation.

```
Mn2TlPt
1.0
0.0000 3.2405 3.2405
3.2405 0.0000 3.2405
3.2405 3.2405 0.0000
Mn Tl Pt
2 1 1
Direct
0.0000 0.0000 0.0000
0.2500 0.2500 0.2500
0.5000 0.5000 0.5000
0.7500 0.7500 0.7500
```

Properties
Offset from the most stable computed form, meV/atom: 97.1
Fermi-level density of states, states/eV per cell: 3.8
Energy, eV/cell: -25.99